No. 1
# Ti2CdF8

A geometry-optimized Ti2CdF8 structure (PBE, Alexandria).

CIF file:
```
data_Ti2CdF8
_space_group_name_H-M_alt 'C 1 2/m 1'
_space_group_IT_number 12
_cell_length_a 10.5836
_cell_length_b 5.6052
_cell_length_c 5.2985
_cell_angle_alpha 90.00
_cell_angle_beta 97.68
_cell_angle_gamma 90.00
loop_
_space_group_symop_operation_xyz
'x,y,z'
'-x,-y,-z'
'-x,y,-z'
'x,-y,z'
'x+1/2,y+1/2,z'
'-x+1/2,-y+1/2,-z'
'-x+1/2,y+1/2,-z'
'x+1/2,-y+1/2,z'
loop_
_atom_site_label
_atom_site_fract_x
_atom_site_fract_y
_atom_site_fract_z
Ti1 0.2378 0.0000 0.0058
Cd1 0.0000 0.5000 0.5000
F1 0.1199 0.0000 0.2230
F2 0.1387 0.5000 0.2298
F3 0.1441 0.2665 0.7766
```

## Properties
formation energy (no corrections)	-2910	meV/atom
volume	14.159	Å³/atom


No. 2
# CdAgSN2

A geometry-optimized CdAgSN2 structure (PBE, Alexandria).

CIF file:
```
data_CdAgSN2
_space_group_name_H-M_alt 'P 4/m m m'
_space_group_IT_number 123
_space_group_name_Hall '-P 4 2'
_cell_length_a 4.2321
_cell_length_b 4.2321
_cell_length_c 5.5178
_cell_angle_alpha 90.00
_cell_angle_beta 90.00
_cell_angle_gamma 90.00
loop_
_atom_site_label
_atom_site_fract_x
_atom_site_fract_y
_atom_site_fract_z
Cd1 0.0000 0.0000 0.0000
Ag1 0.5000 0.5000 0.5000
S1 0.0000 0.0000 0.5000
N1 0.0000 0.5000 0.0000
```

## Properties
formation energy (no corrections)	1747	meV/atom
volume	19.766	Å³/atom
distance to the lowest polymorph of the same formula	155	meV per atom


No. 3
# MgTc2OsRu

A geometry-optimized MgTc2OsRu structure (PBE, Alexandria).

CIF file:
```
data_MgTc2OsRu
_space_group_name_H-M_alt 'P 4/m m m'
_space_group_IT_number 123
_space_group_name_Hall '-P 4 2'
_cell_length_a 4.6497
_cell_length_b 4.6497
_cell_length_c 4.7025
_cell_angle_alpha 90.00
_cell_angle_beta 90.00
_cell_angle_gamma 90.00
loop_
_atom_site_label
_atom_site_fract_x
_atom_site_fract_y
_atom_site_fract_z
Mg1 0.0000 0.0000 0.0000
Tc1 0.0000 0.5000 0.5000
Os1 0.5000 0.5000 0.0000
Ru1 0.5000 0.5000 0.5000
```

## Properties
formation enthalpy at 0 K	1.610	eV per atom
volume	20.334	Å³/atom


No. 4
# CsKBaSn

A geometry-optimized CsKBaSn structure (PBE, Alexandria).

CIF file:
```
data_CsKBaSn
_space_group_name_H-M_alt 'F -4 3 m'
_space_group_IT_number 216
_space_group_name_Hall 'F -4 2 3'
_cell_length_a 8.8646
_cell_length_b 8.8646
_cell_length_c 8.8646
_cell_angle_alpha 90.00
_cell_angle_beta 90.00
_cell_angle_gamma 90.00
loop_
_atom_site_label
_atom_site_fract_x
_atom_site_fract_y
_atom_site_fract_z
Cs1 0.0000 0.0000 0.0000
K1 0.2500 0.2500 0.2500
Ba1 0.2500 0.2500 0.7500
Sn1 0.0000 0.0000 0.5000
```

## Properties
formation enthalpy at 0 K	-0.203	eV per atom
volume	43.536	Å³/atom


No. 5
# KMgP2

A geometry-optimized KMgP2 structure (PBE, Alexandria).

CIF file:
```
data_KMgP2
_space_group_name_H-M_alt 'P m m 2'
_space_group_IT_number 25
_cell_length_a 2.7668
_cell_length_b 4.0498
_cell_length_c 8.4952
_cell_angle_alpha 90.00
_cell_angle_beta 90.00
_cell_angle_gamma 90.00
loop_
_space_group_symop_operation_xyz
'x,y,z'
'-x,-y,z'
'-x,y,z'
'x,-y,z'
loop_
_atom_site_label
_atom_site_fract_x
_atom_site_fract_y
_atom_site_fract_z
K1 0.0000 0.0000 0.0000
Mg1 0.0000 0.5000 0.5104
P1 0.5000 0.0000 0.6511
P2 0.5000 0.5000 0.2474
```

## Properties
formation enthalpy at 0 K	-0.042	eV per atom
volume	23.797	Å³/atom


No. 6
# Ni2PBr

A geometry-optimized Ni2PBr structure (PBE, Alexandria).

CIF file:
```
data_Ni2PBr
_space_group_name_H-M_alt 'I m m m'
_space_group_IT_number 71
_space_group_name_Hall '-I 2 2'
_cell_length_a 3.4455
_cell_length_b 6.4374
_cell_length_c 7.4202
_cell_angle_alpha 90.00
_cell_angle_beta 90.00
_cell_angle_gamma 90.00
loop_
_atom_site_label
_atom_site_fract_x
_atom_site_fract_y
_atom_site_fract_z
Ni1 0.0000 0.1921 0.0000
P1 0.0000 0.5000 0.5000
Br1 0.0000 0.0000 0.5000
```

## Properties
formation energy (no corrections)	140	meV/atom
volume	20.573	Å³/atom
distance to the lowest polymorph of the same formula	405	meV per atom


The highest volume belongs to which entry? CsKBaSn